# 1
Density functional theory data (PBE) for a geometry-optimized ZrScAlTl structure.

Cell: 4.9548 4.9548 4.9548 Å, 60.00 60.00 60.00°
With the nearest neighbours (Å) after each atom.
Atoms (fractional coordinates):
Tl (0.7500, 0.7500, 0.7500)  4 Zr 3.03, 4 Sc 3.03
Al (0.2500, 0.2500, 0.2500)  4 Zr 3.03, 4 Sc 3.03
Sc (0.0000, 0.0000, 0.0000)  4 Al 3.03, 4 Tl 3.03
Zr (0.5000, 0.5000, 0.5000)  4 Tl 3.03, 4 Al 3.03

Summary:
* distance to the lowest polymorph of the same formula: 0.143 eV per atom
* total magnetization: 0.0 μB/f.u.
* density of states at the Fermi level: 0.9611 states/eV per atom
* density: 7.1 g/cm³
* VASP energy: -5.407 eV/atom
* DFT formation energy: -0.6 eV/f.u.


# 2
Density functional theory data (PBE) for a geometry-optimized ZrSc3Os structure.

Cell: 3.2918 6.0829 11.2482 Å, 93.95 90.00 105.70°
With the nearest neighbours (Å) after each atom.
Atoms (fractional coordinates):
Os (0.9480, 0.8961, 0.8594)  2 Zr 2.73, 6 Sc 2.77-2.82
Os (0.0520, 0.1039, 0.1406)  2 Zr 2.73, 6 Sc 2.77-2.82
Zr (0.5326, 0.0652, 0.6930)  2 Os 2.73
Zr (0.4674, 0.9348, 0.3070)  2 Os 2.73
Sc (0.6237, 0.2473, 0.9628)  4 Os 2.77-2.82, 1 Sc 3.07
Sc (0.7235, 0.4469, 0.2457)  2 Os 2.79, 1 Zr 3.13
Sc (0.2765, 0.5531, 0.7543)  2 Os 2.79, 1 Zr 3.13
Sc (0.8686, 0.7372, 0.5258)  4 Zr 3.07-3.24, 7 Sc 3.17-3.30
Sc (0.1314, 0.2628, 0.4742)  4 Zr 3.07-3.24, 7 Sc 3.17-3.30
Sc (0.3763, 0.7527, 0.0372)  4 Os 2.77-2.82, 1 Sc 3.07

Summary:
* distance to the lowest polymorph of the same formula: 0.000 eV per atom
* total magnetization: 0.0 μB/f.u.
* density of states at the Fermi level: 0.8561 states/eV per atom
* density: 6.4 g/cm³
* VASP energy: -7.989 eV/atom
* DFT formation energy: -1.2 eV/f.u.


# 3
Density functional theory data (PBE) for a geometry-optimized Pr3Zn2Pd3 structure.

Cell: 4.2698 6.2466 14.5303 Å, 90.00 90.00 109.98°
With the nearest neighbours (Å) after each atom.
Atoms (fractional coordinates):
Zn (0.7810, 0.5620, 0.9130)  4 Pd 2.59-2.81
Zn (0.7810, 0.5620, 0.5870)  4 Pd 2.59-2.81
Zn (0.2190, 0.4380, 0.0870)  4 Pd 2.59-2.81
Zn (0.2190, 0.4380, 0.4130)  4 Pd 2.59-2.81
Pr (0.0820, 0.1640, 0.8927)  6 Pd 3.08-3.20, 3 Zn 3.18-3.25
Pr (0.9180, 0.8360, 0.3927)  6 Pd 3.08-3.20, 3 Zn 3.18-3.25
Pr (0.0820, 0.1640, 0.6073)  6 Pd 3.08-3.20, 3 Zn 3.18-3.25
Pr (0.9180, 0.8360, 0.1073)  6 Pd 3.08-3.20, 3 Zn 3.18-3.25
Pr (0.3539, 0.7078, 0.7500)  4 Pd 3.03-3.09, 4 Zn 3.30
Pr (0.6461, 0.2922, 0.2500)  4 Pd 3.03-3.09, 4 Zn 3.30
Pd (0.3945, 0.7889, 0.9557)  3 Zn 2.59-2.81, 1 Pd 2.79
Pd (0.3368, 0.6735, 0.2500)  2 Zn 2.74
Pd (0.6632, 0.3265, 0.7500)  2 Zn 2.74
Pd (0.3945, 0.7889, 0.5443)  3 Zn 2.59-2.81, 1 Pd 2.79
Pd (0.6055, 0.2111, 0.4557)  3 Zn 2.59-2.81, 1 Pd 2.79
Pd (0.6055, 0.2111, 0.0443)  3 Zn 2.59-2.81, 1 Pd 2.79

Summary:
* distance to the lowest polymorph of the same formula: 0.000 eV per atom
* total magnetization: 0.0 μB/f.u.
* density of states at the Fermi level: 0.6261 states/eV per atom
* density: 8.0 g/cm³
* VASP energy: -4.734 eV/atom
* DFT formation energy: -5.4 eV/f.u.


# 4
Density functional theory data (PBE) for a geometry-optimized PrSmScCu structure.

Cell: 5.2776 5.2776 5.2776 Å, 60.00 60.00 60.00°
With the nearest neighbours (Å) after each atom.
Atoms (fractional coordinates):
Sc (0.7500, 0.7500, 0.7500)  4 Sm 3.23, 4 Pr 3.23
Pr (0.5000, 0.5000, 0.5000)  4 Cu 3.23, 4 Sc 3.23
Sm (0.0000, 0.0000, 0.0000)  4 Sc 3.23, 4 Cu 3.23
Cu (0.2500, 0.2500, 0.2500)  4 Sm 3.23, 4 Pr 3.23

Summary:
* total magnetization: 0.0 μB/f.u.
* density of states at the Fermi level: 0.9820 states/eV per atom
* density: 6.4 g/cm³
* VASP energy: -4.836 eV/atom
* DFT formation energy: 0.6 eV/f.u.